1.
An optimized crystal structure of Ho3PuRh8, computed with PBE-GGA.

Output
Total energy = -0.2910 Ha/atom
Symmetry = No. 160
Formation energy = -0.679 eV per atom
Calculated volume = 214.0 Å³/cell

Cell: 5.326 5.326 9.235 Å, 73.24 73.24 60.00°
Last column: magnetic moment on the atom in μB.
Fractional coordinates of all 12 atoms:
Rh (0.438, 0.438, 0.187)  -0.10
Rh (0.688, 0.688, 0.937)  -0.04
Rh (0.937, 0.438, 0.688)  -0.04
Rh (0.937, 0.438, 0.187)  -0.10
Rh (0.187, 0.187, 0.438)  -0.10
Rh (0.438, 0.937, 0.688)  -0.04
Rh (0.937, 0.937, 0.688)  -0.04
Rh (0.438, 0.937, 0.187)  -0.10
Ho (0.000, 0.000, 0.001)  0.09
Ho (0.375, 0.375, 0.875)  0.06
Ho (0.501, 0.501, 0.498)  0.11
Pu (0.875, 0.875, 0.375)  5.04

2.
An optimized crystal structure of CaPrY2Tl4, computed with PBE-GGA.

Output
Total energy = -0.1482 Ha/atom
Symmetry = No. 166
Formation energy = -0.387 eV per atom
Calculated volume = 229.5 Å³/cell

Cell: 5.437 5.437 9.498 Å, 73.37 73.37 60.00°
Fractional coordinates of all 8 atoms:
Tl (0.874, 0.874, 0.377)
Tl (0.126, 0.126, 0.623)
Tl (0.624, 0.624, 0.127)
Tl (0.376, 0.376, 0.873)
Y (0.248, 0.248, 0.257)
Y (0.752, 0.752, 0.743)
Ca (0.500, 0.500, 0.500)
Pr (0.000, 0.000, 0.000)

3.
An optimized crystal structure of SrSbCl, computed with PBE-GGA.

Output
ΔE_f (raw) = -1.075 eV per atom
Distance to the lowest polymorph of the same formula = 1.434 eV/f.u.
Total energy = -0.1332 Ha/atom
Symmetry = No. 156
Calculated volume = 116.1 Å³/cell

Cell: 3.975 3.975 8.484 Å, 90.00 90.00 120.00°
Fractional coordinates of all 3 atoms:
Sb (0.667, 0.333, 0.393)
Cl (0.000, 0.000, 0.901)
Sr (0.333, 0.667, 0.706)

4.
An optimized crystal structure of Pa3MnCo, computed with PBE-GGA.

Output
Total energy = -0.3357 Ha/atom
Symmetry = No. 11
Formation energy = -0.181 eV per atom
Calculated volume = 197.4 Å³/cell

Cell: 3.507 6.073 9.270 Å, 90.75 90.00 90.01°
Fractional coordinates of all 10 atoms:
Pa (0.750, 0.755, 0.246)
Pa (0.250, 0.753, 0.949)
Pa (0.250, 0.245, 0.754)
Pa (0.250, 0.740, 0.555)
Pa (0.750, 0.247, 0.051)
Pa (0.750, 0.260, 0.445)
Co (0.250, 0.437, 0.241)
Co (0.750, 0.563, 0.759)
Mn (0.250, 0.021, 0.275)
Mn (0.750, 0.979, 0.725)

5.
An optimized crystal structure of Ti2GaW, computed with PBE-GGA.

Output
Total energy = -0.2784 Ha/atom
Symmetry = No. 122
Formation energy = 0.368 eV per atom
Calculated volume = 137.2 Å³/cell

Cell: 7.205 7.205 5.739 Å, 51.12 51.12 90.00°
Fractional coordinates of all 8 atoms:
W (0.750, 0.250, 0.500)
W (0.000, 0.000, 0.000)
Ti (0.630, 0.125, 0.250)
Ti (0.375, 0.370, 0.750)
Ti (0.120, 0.625, 0.250)
Ti (0.875, 0.880, 0.750)
Ga (0.250, 0.750, 0.500)
Ga (0.500, 0.500, 0.000)

6.
An optimized crystal structure of Nd8Y4Tm3, computed with PBE-GGA.

Output
Total energy = -0.1774 Ha/atom
Symmetry = No. 12
Formation energy = 0.335 eV per atom
Calculated volume = 512.2 Å³/cell

Cell: 6.918 9.190 9.190 Å, 83.14 110.57 110.57°
Fractional coordinates of all 15 atoms:
Y (0.000, 0.000, 0.000)
Y (0.500, 0.000, 0.000)
Y (0.000, 0.000, 0.500)
Y (0.000, 0.500, 0.000)
Nd (0.705, 0.755, 0.755)
Nd (0.500, 0.248, 0.752)
Nd (0.000, 0.705, 0.295)
Nd (0.295, 0.245, 0.245)
Nd (0.827, 0.299, 0.299)
Nd (0.173, 0.701, 0.701)
Nd (0.500, 0.752, 0.248)
Nd (0.000, 0.295, 0.705)
Tm (0.500, 0.500, 0.000)
Tm (0.500, 0.000, 0.500)
Tm (0.500, 0.500, 0.500)

7.
An optimized crystal structure of LaTbSm14, computed with PBE-GGA.

Output
Total energy = -0.1736 Ha/atom
Symmetry = No. 38
Formation energy = 0.003 eV per atom
Calculated volume = 542.4 Å³/cell

Cell: 7.298 7.298 11.761 Å, 90.00 90.00 120.01°
Fractional coordinates of all 16 atoms:
Sm (0.875, 0.625, 0.751)
Sm (0.542, 0.458, 0.000)
Sm (0.041, 0.457, 0.000)
Sm (0.875, 0.125, 0.251)
Sm (0.875, 0.125, 0.749)
Sm (0.375, 0.125, 0.249)
Sm (0.375, 0.625, 0.752)
Sm (0.041, 0.959, 0.000)
Sm (0.875, 0.625, 0.249)
Sm (0.708, 0.791, 0.500)
Sm (0.375, 0.625, 0.248)
Sm (0.209, 0.292, 0.500)
Sm (0.375, 0.125, 0.751)
Sm (0.543, 0.959, 0.000)
La (0.209, 0.791, 0.500)
Tb (0.708, 0.292, 0.500)

8.
An optimized crystal structure of Li15InAg4, computed with PBE-GGA.

Output
Total energy = -0.0841 Ha/atom
Symmetry = No. 123
Formation energy = -0.146 eV per atom
Calculated volume = 345.4 Å³/cell

Cell: 4.186 4.186 19.710 Å, 90.00 90.00 90.00°
Fractional coordinates of all 20 atoms:
Li (0.500, 0.500, 0.000)
Li (0.500, 0.000, 0.500)
Li (0.500, 0.000, 0.894)
Li (0.500, 0.000, 0.106)
Li (0.000, 0.500, 0.500)
Li (0.500, 0.500, 0.402)
Li (0.000, 0.500, 0.302)
Li (0.500, 0.500, 0.205)
Li (0.500, 0.000, 0.302)
Li (0.500, 0.500, 0.795)
Li (0.500, 0.000, 0.698)
Li (0.500, 0.500, 0.598)
Li (0.000, 0.500, 0.698)
Li (0.000, 0.500, 0.106)
Li (0.000, 0.500, 0.894)
Ag (0.000, 0.000, 0.796)
Ag (0.000, 0.000, 0.401)
Ag (0.000, 0.000, 0.204)
Ag (0.000, 0.000, 0.599)
In (0.000, 0.000, 0.000)

Number 1: density of states at the Fermi level 17.676 states/eV/cell. Number 2: density of states at the Fermi level 5.302 states/eV/cell. Number 3: density of states at the Fermi level 2.360 states/eV/cell. Number 4: density of states at the Fermi level 13.728 states/eV/cell. Number 5: density of states at the Fermi level 6.856 states/eV/cell. Number 6: density of states at the Fermi level 23.059 states/eV/cell. Number 7: density of states at the Fermi level 16.318 states/eV/cell. Number 8: density of states at the Fermi level 9.344 states/eV/cell.